one.
This record from Alexandria via LeMat-Bulk describes a relaxed NaTl2N crystal. The functional is PBE.

```
4
Lattice="3.133 -1.808 0.000 3.133 1.808 0.000 -2.100 0.000 7.970" Properties=species:S:1:pos:R:3 pbc="T T T"
Na 0.000 0.000 0.000
Tl -0.006 0.000 5.382
Tl 4.171 0.000 2.588
N 2.083 0.000 3.985
```

Total magnetic moment in μB/cell: 0.00
Theoretical density in g/cm3: 8.2

***

two.
This record from Alexandria via LeMat-Bulk describes a relaxed NaTl2N crystal. The functional is PBE.

```
8
Lattice="-4.093 4.093 2.688 4.093 -4.093 2.688 4.093 4.093 -2.688" Properties=species:S:1:pos:R:3 pbc="T T T"
Na 0.000 0.000 0.000
Na 0.000 4.093 1.344
Tl 2.047 -1.239 2.016
Tl 2.855 2.047 0.672
Tl 2.047 5.332 -0.672
Tl 1.239 2.047 3.360
N 4.093 0.000 1.344
N 0.000 0.000 2.688
```

Total magnetic moment in μB/cell: 0.00
Theoretical density in g/cm3: 8.2

***

Which structure is most stable? one, by 76 meV/atom over the runner-up.

***

one.
This record from Alexandria via LeMat-Bulk describes a relaxed NaVN crystal. The functional is PBE.

```
6
Lattice="4.769 0.000 0.000 0.000 3.062 0.000 -0.186 0.000 5.890" Properties=species:S:1:pos:R:3 pbc="T T T"
Na 1.152 0.765 0.566
Na 3.432 2.296 5.324
V 0.931 2.296 3.281
V 3.652 0.765 2.609
N 0.180 0.765 4.109
N 4.404 2.296 1.781
```

Total magnetic moment in μB/cell: 0.19
Theoretical density in g/cm3: 3.4

***

two.
This record from Alexandria via LeMat-Bulk describes a relaxed NaVN crystal. The functional is PBE.

```
6
Lattice="3.167 0.000 0.000 0.000 3.852 0.000 0.000 0.000 8.263" Properties=species:S:1:pos:R:3 pbc="T T T"
Na 0.792 0.963 1.405
Na 2.375 2.889 6.859
V 0.792 0.963 4.546
V 2.375 2.889 3.718
N 0.792 2.889 4.912
N 2.375 0.963 3.351
```

Total magnetic moment in μB/cell: 0.00
Theoretical density in g/cm3: 2.9

***

three.
This record from Alexandria via LeMat-Bulk describes a relaxed NaVN crystal. The functional is PBE.

```
6
Lattice="5.137 -1.456 0.000 5.137 1.456 0.000 -0.325 0.000 5.925" Properties=species:S:1:pos:R:3 pbc="T T T"
Na 0.000 0.000 0.000
Na 7.550 0.000 1.298
V 2.344 0.000 3.973
V 4.856 0.000 3.126
N 0.986 0.000 2.747
N 8.659 0.000 3.644
```

Total magnetic moment in μB/cell: 0.29
Theoretical density in g/cm3: 3.3

***

Which structure is most stable? two, by 199 meV/atom over the runner-up.

***

one.
This record from Alexandria via LeMat-Bulk describes a relaxed NaVN crystal. The functional is PBE.

```
3
Lattice="2.820 0.000 0.000 0.000 2.820 0.000 0.000 0.000 5.182" Properties=species:S:1:pos:R:3 pbc="T T T"
Na 0.000 0.000 0.000
V 1.410 1.410 2.591
N 0.000 0.000 2.591
```

Total magnetic moment in μB/cell: 0.00
Theoretical density in g/cm3: 3.5

***

two.
This record from Alexandria via LeMat-Bulk describes a relaxed NaVN crystal. The functional is PBE.

```
6
Lattice="10.846 -1.376 0.000 10.846 1.376 0.000 -0.351 0.000 2.783" Properties=species:S:1:pos:R:3 pbc="T T T"
Na 3.854 0.000 0.481
Na 17.487 0.000 2.302
V 0.992 0.000 1.533
V 20.349 0.000 1.250
N 8.860 0.000 2.582
N 12.481 0.000 0.201
```

Total magnetic moment in μB/cell: 0.00
Theoretical density in g/cm3: 3.5

***

Which structure is most stable? two, by 24 meV/atom over the runner-up.

***

one.
This record from Alexandria via LeMat-Bulk describes a relaxed NaVN crystal. The functional is PBE.

```
6
Lattice="2.814 0.000 0.000 0.000 5.238 0.000 -0.032 0.000 6.014" Properties=species:S:1:pos:R:3 pbc="T T T"
Na 0.007 1.309 2.269
Na 2.775 3.928 3.744
V 1.375 1.309 5.564
V 1.407 3.928 0.450
N 0.000 0.000 0.000
N 0.000 2.619 0.000
```

Total magnetic moment in μB/cell: 0.00
Theoretical density in g/cm3: 3.3

***

two.
This record from Alexandria via LeMat-Bulk describes a relaxed NaVN crystal. The functional is PBE.

```
6
Lattice="2.885 0.000 0.000 0.000 2.885 0.000 -0.022 0.000 10.367" Properties=species:S:1:pos:R:3 pbc="T T T"
Na 0.709 0.721 1.594
Na 2.153 2.164 8.773
V 0.710 0.721 6.089
V 2.152 2.164 4.277
N 0.710 0.721 4.072
N 2.153 2.164 6.295
```

Total magnetic moment in μB/cell: 0.00
Theoretical density in g/cm3: 3.4

***

three.
This record from Alexandria via LeMat-Bulk describes a relaxed NaVN crystal. The functional is PBE.

```
6
Lattice="2.849 -1.664 0.000 2.849 1.664 0.000 -1.852 0.000 9.576" Properties=species:S:1:pos:R:3 pbc="T T T"
Na 0.012 0.000 3.256
Na 3.834 0.000 6.320
V 0.046 0.000 8.788
V 3.800 0.000 0.788
N 1.889 0.000 1.308
N 1.957 0.000 8.268
```

Total magnetic moment in μB/cell: 0.00
Theoretical density in g/cm3: 3.2

***

Which structure is most stable? two, by 30 meV/atom over the runner-up.

***

one.
This record from Alexandria via LeMat-Bulk describes a relaxed NaW3N crystal. The functional is PBE.

```
5
Lattice="4.488 0.000 0.000 0.000 4.488 0.000 0.000 0.000 4.488" Properties=species:S:1:pos:R:3 pbc="T T T"
Na 0.000 0.000 0.000
W 0.000 0.000 2.244
W 0.000 2.244 0.000
W 2.244 0.000 0.000
N 2.244 2.244 2.244
```

Total magnetic moment in μB/cell: 0.00
Theoretical density in g/cm3: 10.8

***

two.
This record from Alexandria via LeMat-Bulk describes a relaxed NaW3N crystal. The functional is PBE.

```
5
Lattice="4.187 0.000 0.000 0.000 4.187 0.000 0.000 0.000 4.187" Properties=species:S:1:pos:R:3 pbc="T T T"
Na 0.000 0.000 0.000
W 0.000 2.094 2.094
W 2.094 0.000 2.094
W 2.094 2.094 0.000
N 2.094 2.094 2.094
```

Total magnetic moment in μB/cell: 0.00
Theoretical density in g/cm3: 13.3

***

Which structure is most stable? two, by 3555 meV/atom over the runner-up.

***

one.
This record from Alexandria via LeMat-Bulk describes a relaxed NaY3N crystal. The functional is PBE.

```
5
Lattice="4.953 0.000 0.000 0.000 4.953 0.000 0.000 0.000 4.953" Properties=species:S:1:pos:R:3 pbc="T T T"
Na 0.000 0.000 0.000
Y 0.000 2.476 2.476
Y 2.476 0.000 2.476
Y 2.476 2.476 0.000
N 2.476 2.476 2.476
```

Total magnetic moment in μB/cell: 0.00
Theoretical density in g/cm3: 4.2

***

two.
This record from Alexandria via LeMat-Bulk describes a relaxed NaY3N crystal. The functional is PBE.

```
5
Lattice="5.397 0.000 0.000 0.000 5.397 0.000 0.000 0.000 5.397" Properties=species:S:1:pos:R:3 pbc="T T T"
Na 0.000 0.000 0.000
Y 0.000 0.000 2.698
Y 0.000 2.698 0.000
Y 2.698 0.000 0.000
N 2.698 2.698 2.698
```

Total magnetic moment in μB/cell: 1.18
Theoretical density in g/cm3: 3.2

***

Which structure is most stable? one, by 2268 meV/atom over the runner-up.